1.
! HfBeSi3 | Alexandria | PBE | optimized geometry; values from VASP
! VASP energy ... -4.70 eV/atom
! Fermi-level density of states ... 2.702 states/eV/cell
! ΔE_f (raw) ... 1.286 eV/atom
! Energy above the most stable polymorph in this dataset ... 752 meV/atom
! Size of the total moment ... 0.00 μB/atom
! Mass density ... 3.51 g/cm3
! Space group ... No. 221
! Volume ... 25.716 Å³ per atom
&SYSTEM
  ibrav = 0, nat = 5, ntyp = 3
/
ATOMIC_SPECIES
Hf 178.49 Hf.upf
Be 9.01 Be.upf
Si 28.09 Si.upf
CELL_PARAMETERS angstrom
5.047 0.000 0.000
0.000 5.047 0.000
0.000 0.000 5.047
ATOMIC_POSITIONS angstrom
Hf 0.000 0.000 0.000
Be 2.524 2.524 2.524
Si 0.000 0.000 2.524
Si 0.000 2.524 0.000
Si 2.524 0.000 0.000

---

2.
! MgCdPb2 | Alexandria | PBE | optimized geometry; values from VASP
! VASP energy ... -2.47 eV/atom
! DFT formation energy ... 0.01 eV/atom
! Fermi-level density of states ... 3.188 states/eV/cell
! Energy above the most stable polymorph in this dataset ... 37 meV/atom
! Size of the total moment ... 0.00 μB/atom
! Mass density ... 8.41 g/cm3
! Space group ... No. 12
! Volume ... 27.207 Å³ per atom
&SYSTEM
  ibrav = 0, nat = 8, ntyp = 3
/
ATOMIC_SPECIES
Mg 24.30 Mg.upf
Cd 112.41 Cd.upf
Pb 207.20 Pb.upf
CELL_PARAMETERS angstrom
10.767 0.000 0.000
0.000 3.518 0.000
-1.200 0.000 5.746
ATOMIC_POSITIONS angstrom
Mg 0.000 0.000 0.000
Mg 5.384 1.759 0.000
Cd -0.600 1.759 2.873
Cd 4.784 0.000 2.873
Pb 2.350 1.759 1.420
Pb 1.834 0.000 4.326
Pb 7.733 0.000 1.420
Pb 7.217 1.759 4.326

---

3.
! TaTe2MoN | Alexandria | PBE | optimized geometry; values from VASP
! VASP energy ... -6.71 eV/atom
! Fermi-level density of states ... 5.503 states/eV/cell
! ΔE_f (raw) ... 0.751 eV/atom
! Energy above the most stable polymorph in this dataset ... 128 meV/atom
! Size of the total moment ... 0.47 μB/atom
! Mass density ... 8.24 g/cm3
! Space group ... No. 123
! Volume ... 22.017 Å³ per atom
&SYSTEM
  ibrav = 0, nat = 5, ntyp = 4
/
ATOMIC_SPECIES
Ta 180.95 Ta.upf
Te 127.60 Te.upf
Mo 95.94 Mo.upf
N 14.01 N.upf
CELL_PARAMETERS angstrom
5.420 0.000 0.000
0.000 5.420 0.000
0.000 0.000 3.748
ATOMIC_POSITIONS angstrom
Ta 0.000 0.000 0.000
Te 0.000 2.710 1.874
Te 2.710 0.000 1.874
Mo 2.710 2.710 1.874
N 2.710 2.710 0.000

---

4.
! Rb3CoCl6 | Alexandria | PBE | optimized geometry; values from VASP
! VASP energy ... -3.47 eV/atom
! Fermi-level density of states ... 18.140 states/eV/cell
! ΔE_f (raw) ... -1.361 eV/atom
! Energy above the most stable polymorph in this dataset ... 11 meV/atom
! Size of the total moment ... 0.40 μB/atom
! Mass density ... 2.24 g/cm3
! Space group ... No. 36
! Volume ... 39.072 Å³ per atom
&SYSTEM
  ibrav = 0, nat = 20, ntyp = 3
/
ATOMIC_SPECIES
Rb 85.47 Rb.upf
Co 58.93 Co.upf
Cl 35.45 Cl.upf
CELL_PARAMETERS angstrom
6.607 -8.165 0.000
6.607 8.165 0.000
0.000 0.000 7.243
ATOMIC_POSITIONS angstrom
Rb 6.607 6.584 3.621
Rb 4.085 1.742 3.954
Rb 4.085 -1.742 0.333
Rb 9.130 1.742 3.954
Rb 9.130 -1.742 0.333
Rb 6.607 -6.584 0.000
Co 6.607 3.135 0.762
Co 6.607 -3.135 4.384
Cl 4.827 4.129 1.617
Cl 2.186 0.191 1.969
Cl 2.186 -0.191 5.590
Cl 6.607 3.264 5.797
Cl 8.388 4.129 1.617
Cl 6.607 1.033 1.462
Cl 6.607 -1.033 5.084
Cl 4.827 -4.129 5.238
Cl 6.607 -3.264 2.176
Cl 11.029 0.191 1.969
Cl 11.029 -0.191 5.590
Cl 8.388 -4.129 5.238

---

Q: What is the mass density in the fourth record?
A: 2.24 g/cm3

---

Q: Which of these has the highest VASP energy?
A: MgCdPb2

---

Repeat the second record exactly.
! MgCdPb2 | Alexandria | PBE | optimized geometry; values from VASP
! VASP energy ... -2.47 eV/atom
! DFT formation energy ... 0.01 eV/atom
! Fermi-level density of states ... 3.188 states/eV/cell
! Energy above the most stable polymorph in this dataset ... 37 meV/atom
! Size of the total moment ... 0.00 μB/atom
! Mass density ... 8.41 g/cm3
! Space group ... No. 12
! Volume ... 27.207 Å³ per atom
&SYSTEM
  ibrav = 0, nat = 8, ntyp = 3
/
ATOMIC_SPECIES
Mg 24.30 Mg.upf
Cd 112.41 Cd.upf
Pb 207.20 Pb.upf
CELL_PARAMETERS angstrom
10.767 0.000 0.000
0.000 3.518 0.000
-1.200 0.000 5.746
ATOMIC_POSITIONS angstrom
Mg 0.000 0.000 0.000
Mg 5.384 1.759 0.000
Cd -0.600 1.759 2.873
Cd 4.784 0.000 2.873
Pb 2.350 1.759 1.420
Pb 1.834 0.000 4.326
Pb 7.733 0.000 1.420
Pb 7.217 1.759 4.326